{"formula": "SrSbMo2", "functional": "PBEsol", "state": "optimized geometry", "lattice": [[1.649, 0.952, 9.358], [-1.649, 0.952, 9.358], [0.000, -1.904, 9.358]], "species": ["Sr", "Sb", "Mo", "Mo"], "frac_coords": [[0.000, 0.000, 0.000], [0.230, 0.230, 0.230], [0.487, 0.487, 0.487], [0.761, 0.761, 0.761]]}

***

{"formula": "SrSbMo2", "functional": "PBEsol", "state": "optimized geometry", "lattice": [[3.588, 0.000, 0.000], [0.000, 3.588, 0.000], [0.000, 0.000, 6.870]], "species": ["Sr", "Sb", "Mo", "Mo"], "frac_coords": [[0.000, 0.000, 0.000], [0.000, 0.000, 0.500], [0.500, 0.500, 0.327], [0.500, 0.500, 0.673]]}

***

no.,mass density (g cm⁻³),uncorrected formation energy (eV per formula unit)
1,7.56,1.81
2,7.53,2.04